First-principles (PBE-GGA) data for a relaxed TbPmSi crystal, as listed in OQMD.

Calculated values
total magnetic moment: 0.0 μB/cell
E: -5.392 eV/atom
SG: F-43m

a b c (Å): 4.9291 4.9291 4.9291
angles (deg): 60.00 60.00 60.00
Fractional positions:
Pm1 0.2500 0.2500 0.2500
Si1 0.0000 0.0000 0.0000
Tb1 0.7500 0.7500 0.7500